# GGA-PBE CaPH6CI3, relaxed
data_CaPH6CI3
_chemical_formula_sum 'Ca4 P4 H24 C4 I12'
_cell_length_a 7.7944
_cell_length_b 8.9871
_cell_length_c 16.4109
_cell_angle_alpha 89.00
_cell_angle_beta 84.29
_cell_angle_gamma 83.44
_symmetry_space_group_name_H-M 'P 1'
_symmetry_Int_Tables_number 1
loop_
_symmetry_equiv_pos_as_xyz
'x,y,z'
loop_
_atom_site_label
_atom_site_fract_x
_atom_site_fract_y
_atom_site_fract_z
Ca1 0.0000 0.0000 0.0000
Ca2 0.1196 0.5154 0.4980
Ca3 0.4991 0.9989 0.0006
Ca4 0.6200 0.5135 0.4984
P1 0.2513 0.4700 0.1287
P2 0.2942 0.9770 0.6133
P3 0.7721 0.9645 0.2925
P4 0.7845 0.5734 0.7773
H1 0.0222 0.0504 0.3401
H2 0.0749 0.5295 0.1334
H3 0.1488 0.9016 0.6030
H4 0.1551 0.1402 0.7197
H5 0.2554 0.3123 0.1355
H6 0.2708 0.9752 0.7600
H7 0.3048 0.5096 0.2672
H8 0.3115 0.0842 0.5495
H9 0.3229 0.5071 0.0498
H10 0.3374 0.6703 0.2029
H11 0.3869 0.1244 0.7173
H12 0.4432 0.8716 0.6043
H13 0.4978 0.5089 0.1971
H14 0.6111 0.9234 0.3279
H15 0.6400 0.5143 0.9065
H16 0.6483 0.5524 0.7294
H17 0.7380 0.0757 0.2319
H18 0.7639 0.3515 0.8593
H19 0.7807 0.7291 0.7925
H20 0.8251 0.1278 0.3983
H21 0.8580 0.8368 0.2514
H22 0.8715 0.4877 0.9076
H23 0.9121 0.9372 0.4154
H24 0.9426 0.5256 0.7309
C1 0.2748 0.0626 0.7124
C2 0.3586 0.5475 0.2070
C3 0.7632 0.4714 0.8720
C4 0.8954 0.0264 0.3693
I1 0.2153 0.9972 0.1545
I2 0.2306 0.2466 0.9326
I3 0.2989 0.7632 0.9217
I4 0.3363 0.5215 0.6515
I5 0.3540 0.7614 0.4257
I6 0.4167 0.2771 0.4217
I7 0.6987 0.2337 0.0840
I8 0.7674 0.7573 0.0762
I9 0.7783 0.0134 0.8493
I10 0.8214 0.7579 0.5778
I11 0.8862 0.2818 0.5809
I12 0.8995 0.5217 0.3476
# DFT total energy   -4.000 eV per atom
# Relative energy among the computed polymorphs   0 meV per atom